Entry from Alexandria via LeMat-Bulk: a relaxed Tb4Dy10Ho crystal (GGA-PBE).

## Properties
Space-group type: No. 87
E, eV/atom: -3.876

Geometry as POSCAR:
```
Tb4Dy10Ho
1.0
-6.0520 6.0520 3.8271
6.0520 -6.0520 3.8271
6.0520 6.0520 -3.8271
Tb Dy Ho
4 10 1
direct
0.1006 0.7009 0.8015
0.2991 0.1006 0.3997
0.7009 0.8994 0.6003
0.8994 0.2991 0.1985
0.0506 0.3498 0.8992
0.1514 0.0506 0.7007
0.2500 0.7500 0.5000
0.3498 0.4507 0.2993
0.4507 0.1514 0.1008
0.5493 0.8486 0.8992
0.6502 0.5493 0.7007
0.7500 0.2500 0.5000
0.8486 0.9494 0.2993
0.9494 0.6502 0.1008
0.5000 0.5000 0.0000
```


Entry from Alexandria via LeMat-Bulk: a relaxed TbDy4Ho crystal (GGA-PBE).

## Properties
Space-group type: No. 15
Distance to the lowest polymorph of the same formula, eV per atom: 0.132
E, eV/atom: -4.453

Geometry as POSCAR:
```
TbDy4Ho
1.0
4.3774 -7.3582 0.0000
4.3774 7.3582 0.0000
-2.3753 0.0000 5.9601
Tb Dy Ho
2 8 2
direct
0.0854 0.9146 0.7500
0.9146 0.0854 0.2500
0.0764 0.3273 0.8814
0.2110 0.6067 0.4595
0.3273 0.0764 0.3814
0.3933 0.7890 0.0405
0.6067 0.2110 0.9595
0.6727 0.9236 0.6186
0.7890 0.3933 0.5405
0.9236 0.6727 0.1186
0.4961 0.5039 0.7500
0.5039 0.4961 0.2500
```


Entry from Alexandria via LeMat-Bulk: a relaxed TbDy15Ho4 crystal (GGA-PBE).

## Properties
Space-group type: No. 123
E, eV/atom: -4.580

Geometry as POSCAR:
```
TbDy15Ho4
1.0
4.9950 0.0000 0.0000
0.0000 4.9950 0.0000
0.0000 0.0000 24.9839
Tb Dy Ho
1 15 4
direct
0.0000 0.0000 0.0000
0.0000 0.5000 0.1003
0.0000 0.5000 0.3001
0.0000 0.5000 0.5000
0.0000 0.5000 0.6999
0.0000 0.5000 0.8997
0.5000 0.0000 0.1003
0.5000 0.0000 0.3001
0.5000 0.0000 0.5000
0.5000 0.0000 0.6999
0.5000 0.0000 0.8997
0.5000 0.5000 0.0000
0.5000 0.5000 0.2003
0.5000 0.5000 0.4000
0.5000 0.5000 0.6000
0.5000 0.5000 0.7997
0.0000 0.0000 0.2002
0.0000 0.0000 0.4000
0.0000 0.0000 0.6000
0.0000 0.0000 0.7998
```


Entry from Alexandria via LeMat-Bulk: a relaxed TbDy5Ho4 crystal (GGA-PBE).

## Properties
Space-group type: No. 79
E, eV/atom: -4.288

Geometry as POSCAR:
```
TbDy5Ho4
1.0
-5.0620 5.0620 3.1254
5.0620 -5.0620 3.1254
5.0620 5.0620 -3.1254
Tb Dy Ho
1 5 4
direct
0.0000 0.0000 0.0000
0.0390 0.1250 0.6219
0.1250 0.5031 0.0859
0.4172 0.0390 0.9141
0.5031 0.4172 0.3781
0.5417 0.5417 0.0000
0.1171 0.8184 0.3943
0.4241 0.7228 0.6057
0.7228 0.1171 0.2987
0.8184 0.4241 0.7013
```


Entry from Alexandria via LeMat-Bulk: a relaxed Tb3Dy4Ho8 crystal (GGA-PBE).

## Properties
Space-group type: No. 12
Distance to the lowest polymorph of the same formula, eV per atom: 0.257
E, eV/atom: -4.193

Geometry as POSCAR:
```
Tb3Dy4Ho8
1.0
6.6343 -6.3634 0.0000
6.6343 6.3634 0.0000
-3.3699 0.0000 5.7758
Tb Dy Ho
3 4 8
direct
0.0000 0.0000 0.0000
0.0000 0.5000 0.0000
0.5000 0.0000 0.0000
0.0000 0.5000 0.5000
0.5000 0.0000 0.5000
0.5000 0.5000 0.0000
0.5000 0.5000 0.5000
0.1409 0.8591 0.5000
0.2330 0.2330 0.9718
0.2338 0.2338 0.4942
0.2473 0.7527 0.0000
0.7527 0.2473 0.0000
0.7662 0.7662 0.5058
0.7670 0.7670 0.0282
0.8591 0.1409 0.5000
```


Entry from Alexandria via LeMat-Bulk: a relaxed Tb3Dy3Ho4 crystal (GGA-PBE).

## Properties
Space-group type: No. 38
E, eV/atom: -4.508

Geometry as POSCAR:
```
Tb3Dy3Ho4
1.0
3.6650 0.0000 0.0000
0.0000 6.5765 6.5791
0.0000 -6.5765 6.5791
Tb Dy Ho
3 3 4
direct
0.0000 0.0000 0.0000
0.0000 0.4998 0.8455
0.0000 0.8455 0.4998
0.0000 0.3455 0.3455
0.5000 0.1731 0.6721
0.5000 0.6721 0.1731
0.5000 0.0474 0.2986
0.5000 0.2986 0.0474
0.5000 0.5468 0.5468
0.5000 0.7984 0.7984
```


Entry from Alexandria via LeMat-Bulk: a relaxed Tb2DyHo2 crystal (GGA-PBE).

## Properties
Space-group type: No. 127
Distance to the lowest polymorph of the same formula, eV per atom: 0.000
E, eV/atom: -4.511

Geometry as POSCAR:
```
Tb2DyHo2
1.0
9.2377 0.0000 0.0000
0.0000 9.2377 0.0000
0.0000 0.0000 3.7111
Tb Dy Ho
4 2 4
direct
0.1280 0.3720 0.0000
0.3720 0.8720 0.0000
0.6280 0.1280 0.0000
0.8720 0.6280 0.0000
0.0000 0.0000 0.0000
0.5000 0.5000 0.0000
0.1705 0.6705 0.5000
0.3295 0.1705 0.5000
0.6705 0.8295 0.5000
0.8295 0.3295 0.5000
```


Entry from Alexandria via LeMat-Bulk: a relaxed Tb12DyHo6 crystal (GGA-PBE).

## Properties
Space-group type: No. 148
Distance to the lowest polymorph of the same formula, eV per atom: 0.000
E, eV/atom: -4.459

Geometry as POSCAR:
```
Tb12DyHo6
1.0
5.9302 3.4238 5.0274
-5.9302 3.4238 5.0274
0.0000 -6.8476 5.0274
Tb Dy Ho
12 1 6
direct
0.0127 0.2023 0.3581
0.2023 0.3581 0.0127
0.2239 0.4588 0.5655
0.3581 0.0127 0.2023
0.4345 0.7761 0.5412
0.4588 0.5655 0.2239
0.5412 0.4345 0.7761
0.5655 0.2239 0.4588
0.6419 0.9873 0.7977
0.7761 0.5412 0.4345
0.7977 0.6419 0.9873
0.9873 0.7977 0.6419
0.0000 0.0000 0.0000
0.0945 0.6939 0.2585
0.2585 0.0945 0.6939
0.3061 0.7415 0.9055
0.6939 0.2585 0.0945
0.7415 0.9055 0.3061
0.9055 0.3061 0.7415
```


Entry from Alexandria via LeMat-Bulk: a relaxed TbDyHo6 crystal (GGA-PBE).

## Properties
Space-group type: No. 2
Distance to the lowest polymorph of the same formula, eV per atom: 0.193
E, eV/atom: -4.377

Geometry as POSCAR:
```
TbDyHo6
1.0
6.4961 0.0000 0.0000
0.0059 6.6813 0.0000
1.5970 3.3310 5.8037
Tb Dy Ho
1 1 6
direct
0.0000 0.0000 0.0000
0.5000 0.0000 0.0000
0.2303 0.5741 0.5199
0.2504 0.5471 0.9993
0.2699 0.0945 0.4783
0.7301 0.9055 0.5217
0.7496 0.4529 0.0007
0.7697 0.4259 0.4801
```


Entry from Alexandria via LeMat-Bulk: a relaxed Tb3Dy8Ho3 crystal (GGA-PBE).

## Properties
Space-group type: No. 71
E, eV/atom: -4.490

Geometry as POSCAR:
```
Tb3Dy8Ho3
1.0
-2.7929 5.3625 7.4133
2.7929 -5.3625 7.4133
2.7929 5.3625 -7.4133
Tb Dy Ho
3 8 3
direct
0.0000 0.0000 0.0000
0.1810 0.6810 0.5000
0.8190 0.3190 0.5000
0.1192 0.2779 0.8413
0.2375 0.8964 0.3411
0.4367 0.2779 0.1587
0.4447 0.1036 0.3411
0.5553 0.8964 0.6589
0.5633 0.7221 0.8413
0.7625 0.1036 0.6589
0.8808 0.7221 0.1587
0.2029 0.5000 0.7029
0.5000 0.5000 0.0000
0.7971 0.5000 0.2971
```


Entry from Alexandria via LeMat-Bulk: a relaxed Tb2Dy9Ho crystal (GGA-PBE).

## Properties
Space-group type: No. 191
Distance to the lowest polymorph of the same formula, eV per atom: 0.035
E, eV/atom: -4.550

Geometry as POSCAR:
```
Tb2Dy9Ho
1.0
11.1753 0.0000 0.0000
-5.5877 9.6781 0.0000
0.0000 0.0000 3.4774
Tb Dy Ho
2 9 1
direct
0.3333 0.6667 0.0000
0.6667 0.3333 0.0000
0.0000 0.5000 0.0000
0.1752 0.3504 0.5000
0.1752 0.8248 0.5000
0.3504 0.1752 0.5000
0.5000 0.0000 0.0000
0.5000 0.5000 0.0000
0.6496 0.8248 0.5000
0.8248 0.1752 0.5000
0.8248 0.6496 0.5000
0.0000 0.0000 0.0000
```


Entry from Alexandria via LeMat-Bulk: a relaxed TbDy6Ho5 crystal (GGA-PBE).

## Properties
Space-group type: No. 12
E, eV/atom: -4.577

Geometry as POSCAR:
```
TbDy6Ho5
1.0
3.0561 -5.2878 0.0000
3.0561 5.2878 0.0000
-2.0233 0.0000 11.5119
Tb Dy Ho
1 6 5
direct
0.0000 0.0000 0.0000
0.0830 0.4164 0.2504
0.2505 0.2505 0.7497
0.4164 0.0830 0.2504
0.5836 0.9170 0.7496
0.7495 0.7495 0.2503
0.9170 0.5836 0.7496
0.1667 0.8333 0.5000
0.3333 0.6667 0.0000
0.5000 0.5000 0.5000
0.6667 0.3333 0.0000
0.8333 0.1667 0.5000
```